[1]
CsAs2Pb2 | PBE | relaxed

Unit cell a=5.256 b=5.256 c=12.600 alpha=90.00 beta=90.00 gamma=90.00
Atoms (fractional coordinates):
Cs  0.000  0.000  0.000
Cs  0.500  0.500  0.500
As  0.000  0.500  0.250
As  0.000  0.500  0.750
As  0.500  0.000  0.250
As  0.500  0.000  0.750
Pb  0.000  0.000  0.356
Pb  0.000  0.000  0.644
Pb  0.500  0.500  0.144
Pb  0.500  0.500  0.856

SG: No. 139
Volume (Å³ per cell): 348.1
Theoretical density (Mg/m³): 6.65
Total moment (μB/f.u.): 0.00
E_form (eV/atom): -0.1372
DOS at the Fermi energy (states/eV/f.u.): 3.81
DFT total energy (Ha/atom): -0.13417

---

[2]
Cs2AsPb2 | PBE | relaxed

Unit cell a=11.351 b=11.351 c=3.507 alpha=90.00 beta=90.00 gamma=90.00
Atoms (fractional coordinates):
Cs  0.208  0.292  0.000
Cs  0.292  0.792  0.000
Cs  0.708  0.208  0.000
Cs  0.792  0.708  0.000
As  0.000  0.000  0.500
As  0.500  0.500  0.500
Pb  0.091  0.591  0.500
Pb  0.409  0.091  0.500
Pb  0.591  0.909  0.500
Pb  0.909  0.409  0.500

SG: No. 127
Volume (Å³ per cell): 451.8
Theoretical density (Mg/m³): 5.55
Total moment (μB/f.u.): 0.64
E_form (eV/atom): 0.3108
DOS at the Fermi energy (states/eV/f.u.): 4.62
DFT total energy (Ha/atom): -0.08981

---

[3]
CsAsPb3 | PBE | relaxed

Unit cell a=6.249 b=6.249 c=6.249 alpha=90.00 beta=90.00 gamma=90.00
Atoms (fractional coordinates):
Cs  0.000  0.000  0.000
As  0.500  0.500  0.500
Pb  0.000  0.000  0.500
Pb  0.000  0.500  0.000
Pb  0.500  0.000  0.000

SG: No. 221
Volume (Å³ per cell): 244.0
Theoretical density (Mg/m³): 5.64
Total moment (μB/f.u.): 0.00
E_form (eV/atom): 1.5175
DOS at the Fermi energy (states/eV/f.u.): 5.60
DFT total energy (Ha/atom): -0.06645

---

[4]
Cs6AsPb3 | PBE | relaxed

Unit cell a=10.991 b=7.748 c=15.769 alpha=90.00 beta=132.82 gamma=90.00
Atoms (fractional coordinates):
Cs  0.089  0.236  0.353
Cs  0.089  0.264  0.853
Cs  0.224  0.101  0.663
Cs  0.224  0.399  0.163
Cs  0.382  0.565  0.816
Cs  0.382  0.935  0.316
Cs  0.618  0.065  0.684
Cs  0.618  0.435  0.184
Cs  0.776  0.601  0.837
Cs  0.776  0.899  0.337
Cs  0.911  0.736  0.147
Cs  0.911  0.764  0.647
As  0.000  0.000  0.000
As  0.000  0.500  0.500
Pb  0.258  0.681  0.514
Pb  0.258  0.819  0.014
Pb  0.500  0.000  0.000
Pb  0.500  0.500  0.500
Pb  0.742  0.181  0.986
Pb  0.742  0.319  0.486

SG: No. 14
Volume (Å³ per cell): 985.1
Theoretical density (Mg/m³): 5.04
Total moment (μB/f.u.): 0.00
E_form (eV/atom): -0.1248
DOS at the Fermi energy (states/eV/f.u.): 5.92
DFT total energy (Ha/atom): -0.08138

---

[5]
Cs2As2Pb | PBE | relaxed

Unit cell a=7.815 b=7.815 c=6.015 alpha=90.00 beta=90.00 gamma=90.00
Atoms (fractional coordinates):
Cs  0.184  0.316  0.000
Cs  0.316  0.816  0.000
Cs  0.684  0.184  0.000
Cs  0.816  0.684  0.000
As  0.109  0.609  0.500
As  0.391  0.109  0.500
As  0.609  0.891  0.500
As  0.891  0.391  0.500
Pb  0.000  0.000  0.500
Pb  0.500  0.500  0.500

SG: No. 127
Volume (Å³ per cell): 367.3
Theoretical density (Mg/m³): 5.63
Total moment (μB/f.u.): 0.00
E_form (eV/atom): -0.2616
DOS at the Fermi energy (states/eV/f.u.): 2.82
DFT total energy (Ha/atom): -0.11776

---

[6]
Cs3As2Pb2 | PBE | relaxed

Unit cell a=8.833 b=9.383 c=14.558 alpha=90.00 beta=90.00 gamma=90.00
Atoms (fractional coordinates):
Cs  0.085  0.215  0.124
Cs  0.085  0.215  0.376
Cs  0.085  0.285  0.624
Cs  0.085  0.285  0.876
Cs  0.410  0.626  0.750
Cs  0.410  0.874  0.250
Cs  0.590  0.126  0.750
Cs  0.590  0.374  0.250
Cs  0.915  0.715  0.124
Cs  0.915  0.715  0.376
Cs  0.915  0.785  0.624
Cs  0.915  0.785  0.876
As  0.221  0.535  0.250
As  0.221  0.965  0.750
As  0.447  0.250  0.000
As  0.447  0.250  0.500
As  0.553  0.750  0.000
As  0.553  0.750  0.500
As  0.779  0.035  0.250
As  0.779  0.465  0.750
Pb  0.322  0.554  0.055
Pb  0.322  0.554  0.445
Pb  0.322  0.946  0.555
Pb  0.322  0.946  0.945
Pb  0.678  0.054  0.055
Pb  0.678  0.054  0.445
Pb  0.678  0.446  0.555
Pb  0.678  0.446  0.945

SG: No. 57
Volume (Å³ per cell): 1206.7
Theoretical density (Mg/m³): 5.30
Total moment (μB/f.u.): 0.00
E_form (eV/atom): -0.2435
DOS at the Fermi energy (states/eV/f.u.): 2.04
DFT total energy (Ha/atom): -0.11015